No. 1
# Cs4K2Ag (PBE, optimized geometry)
# * crystal system: monoclinic
# * DFT formation energy: 0.04 eV per atom
# * E above lowest polymorph: 0 meV per atom
# * spin magnetization: 0.00 μB per atom
data_Cs4K2Ag
_chemical_formula_sum 'Cs8 K4 Ag2'
_cell_length_a 17.421
_cell_length_b 7.377
_cell_length_c 9.654
_cell_angle_alpha 90.00
_cell_angle_beta 115.56
_cell_angle_gamma 90.00
_symmetry_space_group_name_H-M 'C 1 2/m 1'
_symmetry_Int_Tables_number 12
loop_
_symmetry_equiv_pos_as_xyz
'x,y,z'
'-x,-y,-z'
'-x,y,-z'
'x,-y,z'
'x+1/2,y+1/2,z'
'-x+1/2,-y+1/2,-z'
'-x+1/2,y+1/2,-z'
'x+1/2,-y+1/2,z'
loop_
_atom_site_label
_atom_site_fract_x
_atom_site_fract_y
_atom_site_fract_z
Cs1 0.025 0.000 0.243
Cs2 0.152 0.500 0.793
K1 0.199 0.500 0.316
Ag1 0.000 0.500 0.000



No. 2
# Cs2K2Ag (PBE, optimized geometry)
# * crystal system: tetragonal
# * DFT formation energy: 0.15 eV per atom
# * E above lowest polymorph: 119 meV per atom
# * spin magnetization: 0.00 μB per atom
data_Cs2K2Ag
_chemical_formula_sum 'Cs4 K4 Ag2'
_cell_length_a 9.743
_cell_length_b 9.743
_cell_length_c 8.058
_cell_angle_alpha 90.00
_cell_angle_beta 90.00
_cell_angle_gamma 90.00
_symmetry_space_group_name_H-M 'P 4/m b m'
_symmetry_Int_Tables_number 127
_symmetry_space_group_name_Hall '-P 4 2ab'
loop_
_atom_site_label
_atom_site_fract_x
_atom_site_fract_y
_atom_site_fract_z
Cs1 0.167 0.333 0.000
K1 0.169 0.669 0.500
Ag1 0.000 0.000 0.000



No. 3
# Cs4K2Ag (PBE, optimized geometry)
# * crystal system: tetragonal
# * DFT formation energy: 0.06 eV per atom
# * E above lowest polymorph: 25 meV per atom
# * spin magnetization: 0.00 μB per atom
data_Cs4K2Ag
_chemical_formula_sum 'Cs8 K4 Ag2'
_cell_length_a 7.307
_cell_length_b 7.307
_cell_length_c 23.936
_cell_angle_alpha 90.00
_cell_angle_beta 90.00
_cell_angle_gamma 90.00
_symmetry_space_group_name_H-M 'I 4/m m m'
_symmetry_Int_Tables_number 139
_symmetry_space_group_name_Hall '-I 4 2'
loop_
_atom_site_label
_atom_site_fract_x
_atom_site_fract_y
_atom_site_fract_z
Cs1 0.000 0.000 0.161
Cs2 0.000 0.500 0.000
K1 0.000 0.000 0.356
Ag1 0.000 0.000 0.000



No. 4
# Cs6KAg (PBE, optimized geometry)
# * crystal system: orthorhombic
# * DFT formation energy: 0.04 eV per atom
# * spin magnetization: 0.00 μB per atom
data_Cs6KAg
_chemical_formula_sum 'Cs12 K2 Ag2'
_cell_length_a 5.453
_cell_length_b 15.636
_cell_length_c 17.405
_cell_angle_alpha 90.00
_cell_angle_beta 90.00
_cell_angle_gamma 90.00
_symmetry_space_group_name_H-M 'A m m 2'
_symmetry_Int_Tables_number 38
loop_
_symmetry_equiv_pos_as_xyz
'x,y,z'
'-x,-y,z'
'-x,y,z'
'x,-y,z'
'x,y+1/2,z+1/2'
'-x,-y+1/2,z+1/2'
'-x,y+1/2,z+1/2'
'x,-y+1/2,z+1/2'
loop_
_atom_site_label
_atom_site_fract_x
_atom_site_fract_y
_atom_site_fract_z
Cs1 0.000 0.000 0.000
Cs2 0.000 0.153 0.732
Cs3 0.500 0.000 0.256
Cs4 0.500 0.227 0.495
K1 0.000 0.000 0.497
Ag1 0.500 0.000 0.625



No. 5
# Cs4KAg2 (PBE, optimized geometry)
# * crystal system: monoclinic
# * DFT formation energy: 0.08 eV per atom
# * spin magnetization: 0.00 μB per atom
data_Cs4KAg2
_chemical_formula_sum 'Cs4 K1 Ag2'
_cell_length_a 9.002
_cell_length_b 5.226
_cell_length_c 12.364
_cell_angle_alpha 90.00
_cell_angle_beta 104.20
_cell_angle_gamma 90.00
_symmetry_space_group_name_H-M 'P 1 2/m 1'
_symmetry_Int_Tables_number 10
loop_
_symmetry_equiv_pos_as_xyz
'x,y,z'
'-x,-y,-z'
'-x,y,-z'
'x,-y,z'
loop_
_atom_site_label
_atom_site_fract_x
_atom_site_fract_y
_atom_site_fract_z
Cs1 0.061 0.000 0.195
Cs2 0.433 0.500 0.812
K1 0.500 0.000 0.500
Ag1 0.160 0.500 0.002



No. 6
# CsK12Ag5 (PBE, optimized geometry)
# * crystal system: orthorhombic
# * DFT formation energy: 0.05 eV per atom
# * spin magnetization: 0.00 μB per atom
data_CsK12Ag5
_chemical_formula_sum 'Cs2 K24 Ag10'
_cell_length_a 11.533
_cell_length_b 11.938
_cell_length_c 13.432
_cell_angle_alpha 90.00
_cell_angle_beta 90.00
_cell_angle_gamma 90.00
_symmetry_space_group_name_H-M 'I m m m'
_symmetry_Int_Tables_number 71
_symmetry_space_group_name_Hall '-I 2 2'
loop_
_atom_site_label
_atom_site_fract_x
_atom_site_fract_y
_atom_site_fract_z
Cs1 0.000 0.000 0.000
K1 0.000 0.196 0.296
K2 0.179 0.500 0.314
K3 0.224 0.330 0.000
Ag1 0.000 0.000 0.500
Ag2 0.000 0.379 0.500
Ag3 0.000 0.500 0.105



No. 7
# Cs2K2Ag (PBE, optimized geometry)
# * crystal system: tetragonal
# * DFT formation energy: 0.10 eV per atom
# * E above lowest polymorph: 75 meV per atom
# * spin magnetization: 0.00 μB per atom
data_Cs2K2Ag
_chemical_formula_sum 'Cs4 K4 Ag2'
_cell_length_a 9.448
_cell_length_b 9.448
_cell_length_c 7.665
_cell_angle_alpha 90.00
_cell_angle_beta 90.00
_cell_angle_gamma 90.00
_symmetry_space_group_name_H-M 'P 4/m b m'
_symmetry_Int_Tables_number 127
_symmetry_space_group_name_Hall '-P 4 2ab'
loop_
_atom_site_label
_atom_site_fract_x
_atom_site_fract_y
_atom_site_fract_z
Cs1 0.187 0.313 0.000
K1 0.162 0.662 0.500
Ag1 0.000 0.000 0.500



No. 8
# CsKAg3 (PBE, optimized geometry)
# * crystal system: cubic
# * DFT formation energy: 0.74 eV per atom
# * E above lowest polymorph: 673 meV per atom
# * spin magnetization: 0.16 μB per atom
data_CsKAg3
_chemical_formula_sum 'Cs1 K1 Ag3'
_cell_length_a 6.626
_cell_length_b 6.626
_cell_length_c 6.626
_cell_angle_alpha 90.00
_cell_angle_beta 90.00
_cell_angle_gamma 90.00
_symmetry_space_group_name_H-M 'P m -3 m'
_symmetry_Int_Tables_number 221
_symmetry_space_group_name_Hall '-P 4 2 3'
loop_
_atom_site_label
_atom_site_fract_x
_atom_site_fract_y
_atom_site_fract_z
Cs1 0.000 0.000 0.000
K1 0.500 0.500 0.500
Ag1 0.000 0.000 0.500